Compound: YLu6I
Source: OQMD
Functional: PBE-GGA
Structure: optimized geometry

Unit cell a=6.976 b=6.976 c=5.572 alpha=90.00 beta=90.00 gamma=120.00
Each line ends with the local moment (μB).
Positions (direct):
1 Lu 0.833 0.167 0.000  0.05
2 Lu 0.833 0.666 0.000  0.05
3 Lu 0.000 0.500 0.500  0.04
4 Y 0.333 0.667 0.000  0.03
5 Lu 0.500 0.000 0.500  0.04
6 I 0.000 0.000 0.500  0.00
7 Lu 0.500 0.500 0.500  0.04
8 Lu 0.334 0.167 0.000  0.04

Summary:
The total energy comes out at -0.1615 hartree per atom.